1.
PBE BaCd2CuHg, relaxed; energy of formation from the pure elements = -0.16 eV/atom; final energy = -1.792 eV per atom; total moment = 0.000 μB/cell
1.0
-2.943 2.893 3.111
1.352 -2.950 4.023
4.072 3.139 0.933
Cd Ba Cu Hg
2 1 1 1
Direct
0.000 0.500 0.000
0.500 0.000 0.000
0.500 0.500 0.500
0.000 0.000 0.000
0.000 0.000 0.500

***

2.
PBE Ac2PuBi2O2, relaxed; final energy = -7.486 eV per atom; total moment = 4.479 μB/cell
1.0
-2.837 0.195 -3.598
-1.462 -4.247 0.923
-4.135 5.305 6.470
Bi O Ac Pu
2 2 2 1
Direct
0.815 0.815 0.630
0.185 0.185 0.370
0.000 0.500 0.000
0.500 0.000 0.000
0.385 0.385 0.769
0.615 0.615 0.231
0.000 0.000 0.000

***

3.
PBE EuThTl2, relaxed; energy of formation from the pure elements = -0.20 eV/atom; final energy = -5.803 eV per atom; distance to the lowest polymorph of the same formula = 72 meV per atom; total moment = 7.447 μB/cell
1.0
-1.925 -3.990 -3.350
-1.297 -4.985 2.078
-5.316 -1.575 0.326
Tl Eu Th
2 1 1
Direct
0.250 0.250 0.250
0.750 0.750 0.750
0.500 0.500 0.500
0.000 0.000 0.000

***

4.
PBE Tm5Ir2Pb4, relaxed; energy of formation from the pure elements = -0.60 eV/atom; final energy = -5.594 eV per atom; total moment = 0.000 μB/cell
1.0
-0.697 0.615 3.522
-6.932 -4.331 -0.616
9.059 -15.130 4.437
Tm Pb Ir
10 8 4
Direct
0.000 0.264 0.220
0.000 0.000 0.500
0.000 0.892 0.091
0.000 0.108 0.909
0.000 0.764 0.280
0.000 0.392 0.409
0.000 0.736 0.780
0.000 0.608 0.591
0.000 0.500 0.000
0.000 0.236 0.720
0.500 0.207 0.063
0.500 0.911 0.649
0.500 0.707 0.437
0.500 0.793 0.937
0.500 0.411 0.851
0.500 0.293 0.563
0.500 0.589 0.149
0.500 0.089 0.351
0.500 0.018 0.803
0.500 0.518 0.697
0.500 0.982 0.197
0.500 0.482 0.303

***

no.,mass density (kg/m³),DOS at the Fermi energy (states/eV per cell)
1,7451,2.4
2,10358,8.3
3,10866,4.5
4,12588,11.8